An optimized crystal structure of As2PN. Source: the Alexandria database, functional GGA-PBEsol.

a b c (Å): 7.0326 7.0326 7.0326
angles (deg): 140.88 140.88 56.52
Fractional positions:
As (0.0522, 0.6250, 0.9272)
As (0.3750, 0.3022, 0.4272)
As (0.6978, 0.1250, 0.0728)
As (0.8750, 0.9478, 0.5728)
P (0.2500, 0.7500, 0.5000)
P (0.5000, 0.5000, 0.0000)
N (0.0000, 0.0000, 0.0000)
N (0.7500, 0.2500, 0.5000)

Values from the calculation:
magnetic moment	0.0000	μB/atom
E_tot	-21.877	eV/f.u.
DOS at the Fermi energy	0.42	states/eV per atom



An optimized crystal structure of LiCoSi2. Source: the Alexandria database, functional GGA-PBEsol.

a b c (Å): 7.7588 7.7588 7.7588
angles (deg): 144.72 144.72 50.75
Fractional positions:
Li (0.0000, 0.0000, 0.0000)
Li (0.7500, 0.2500, 0.5000)
Co (0.2500, 0.7500, 0.5000)
Co (0.5000, 0.5000, 0.0000)
Si (0.3103, 0.1250, 0.6853)
Si (0.3750, 0.6897, 0.8147)
Si (0.4397, 0.6250, 0.3147)
Si (0.8750, 0.5603, 0.1853)

Values from the calculation:
magnetic moment	0.0000	μB/atom
E_tot	-20.569	eV/f.u.
DOS at the Fermi energy	0.38	states/eV per atom



Asked for formation energy (no corrections) across the records above, the calculation gives 64.0; 15.1 kJ/mol of atoms in order.